# BeCuRu2 GGA-PBE relaxed
data_BeCuRu2
_chemical_formula_sum 'Be2 Cu2 Ru4'
_space_group_name_H-M_alt 'C m m 2'
_space_group_IT_number 35
_cell_length_a 2.7448
_cell_length_b 4.4385
_cell_length_c 8.2864
_cell_angle_alpha 90.00
_cell_angle_beta 90.00
_cell_angle_gamma 90.00
loop_
_space_group_symop_operation_xyz
'x,y,z'
'-x,-y,z'
'-x,y,z'
'x,-y,z'
'x+1/2,y+1/2,z'
'-x+1/2,-y+1/2,z'
'-x+1/2,y+1/2,z'
'x+1/2,-y+1/2,z'
loop_
_atom_site_label
_atom_site_fract_x
_atom_site_fract_y
_atom_site_fract_z
Be1 0.0000 0.0000 0.0000
Cu1 0.0000 0.5000 0.7792
Ru1 0.0000 0.0000 0.5032
Ru2 0.0000 0.5000 0.2279
# Uncorrected energy, eV/f.u.: -25.3
# Size of the total moment, μB/cell: 0.7
# E_form, eV per atom: 0.2711